Entry from Alexandria via LeMat-Bulk: an optimized crystal structure of Tl3InHg7 (PBE-GGA).

Cell and atoms, written as CIF:
```
data_Tl3InHg7
_symmetry_space_group_name_H-M 'C 1 2/m 1'
_symmetry_Int_Tables_number 12
_cell_length_a 10.368
_cell_length_b 11.498
_cell_length_c 6.091
_cell_angle_alpha 90.00
_cell_angle_beta 113.67
_cell_angle_gamma 90.00
loop_
_symmetry_equiv_pos_as_xyz
'x,y,z'
'-x,-y,-z'
'-x,y,-z'
'x,-y,z'
'x+1/2,y+1/2,z'
'-x+1/2,-y+1/2,-z'
'-x+1/2,y+1/2,-z'
'x+1/2,-y+1/2,z'
loop_
_atom_site_label
_atom_site_type_symbol
_atom_site_fract_x
_atom_site_fract_y
_atom_site_fract_z
Tl1 Tl 0.000 0.000 0.000
Tl2 Tl 0.000 0.229 0.500
In1 In 0.000 0.500 0.000
Hg1 Hg 0.000 0.500 0.500
Hg2 Hg 0.168 0.249 0.156
Hg3 Hg 0.200 0.000 0.597
```

Summary:
- M_tot: 0.00 Bohr magnetons per cell
- E_form: 0.027 eV per atom
- Offset from the most stable computed form: 6 meV per atom


Entry from Alexandria via LeMat-Bulk: an optimized crystal structure of Tl2InHg10 (PBE-GGA).

Cell and atoms, written as CIF:
```
data_Tl2InHg10
_symmetry_space_group_name_H-M 'P b a m'
_symmetry_Int_Tables_number 55
_cell_length_a 11.396
_cell_length_b 13.594
_cell_length_c 5.979
_cell_angle_alpha 90.00
_cell_angle_beta 90.00
_cell_angle_gamma 90.00
loop_
_symmetry_equiv_pos_as_xyz
'x,y,z'
'-x,-y,-z'
'-x,-y,z'
'x,y,-z'
'x+1/2,-y+1/2,-z'
'-x+1/2,y+1/2,z'
'-x+1/2,y+1/2,-z'
'x+1/2,-y+1/2,z'
loop_
_atom_site_label
_atom_site_type_symbol
_atom_site_fract_x
_atom_site_fract_y
_atom_site_fract_z
Tl1 Tl 0.106 0.105 0.000
In1 In 0.000 0.000 0.500
Hg1 Hg 0.013 0.646 0.500
Hg2 Hg 0.149 0.821 0.243
Hg3 Hg 0.168 0.192 0.500
Hg4 Hg 0.203 0.489 0.500
```

Summary:
- M_tot: 0.00 Bohr magnetons per cell
- E_form: 0.076 eV per atom


Entry from Alexandria via LeMat-Bulk: an optimized crystal structure of Tl4In15Hg (PBE-GGA).

Cell and atoms, written as CIF:
```
data_Tl4In15Hg
_symmetry_space_group_name_H-M 'P 4/m m m'
_symmetry_Int_Tables_number 123
_symmetry_space_group_name_Hall '-P 4 2'
_cell_length_a 4.539
_cell_length_b 4.539
_cell_length_c 27.083
_cell_angle_alpha 90.00
_cell_angle_beta 90.00
_cell_angle_gamma 90.00
loop_
_atom_site_label
_atom_site_type_symbol
_atom_site_fract_x
_atom_site_fract_y
_atom_site_fract_z
Tl1 Tl 0.000 0.000 0.102
Tl2 Tl 0.000 0.000 0.303
In1 In 0.000 0.500 0.000
In2 In 0.000 0.500 0.202
In3 In 0.000 0.500 0.404
In4 In 0.500 0.500 0.100
In5 In 0.500 0.500 0.302
In6 In 0.500 0.500 0.500
Hg1 Hg 0.000 0.000 0.500
```

Summary:
- M_tot: 0.00 Bohr magnetons per cell
- E_form: 0.034 eV per atom